# Dy2YSb

Dy2YSb after structural relaxation (PBE-GGA, the Alexandria database).

As for the total DFT energy (no corrections): -5.248 eV/atom. For the density of states at the Fermi level, the calculation gives 4.9 states/eV/f.u. The value obtained for the energy above the most stable polymorph in this dataset is 0.267 eV per atom. Its magnetic moment is 3.3 Bohr magnetons per cell.

It has space group R-3m (No. 166, hexagonal axes), with a = 3.9701 Å, b = 3.9701 Å, c = 29.1218 Å, α = 90.00°, β = 90.00° and γ = 120.00°. The inequivalent atoms are Dy at (0.0000, 0.0000, 0.2337), Y at (0.0000, 0.0000, 0.0000) and Sb at (0.0000, 0.0000, 0.5000).